The following is a PBE with a Hubbard U calculation of a relaxed structure of Ta2MnNiF, from Alexandria.

## Properties
- Final energy: -6.600 eV per atom

Lattice parameters (Å, degrees): 4.1838 4.1838 4.5120 90.00 90.00 90.00
Space group P4/mmm (No. 123)
Symmetry-distinct sites (fractional):
Ta (0.0000, 0.5000, 0.0000) [2 per cell]
Mn (0.0000, 0.0000, 0.5000) [1 per cell]
Ni (0.5000, 0.5000, 0.5000) [1 per cell]
F (0.5000, 0.5000, 0.0000) [1 per cell]